Record 1
DFT (PBEsol) results for crystalline RbTl3 at its relaxed geometry.

Unit cell a=5.1805 b=7.9661 c=7.9661 alpha=120.00 beta=90.00 gamma=90.00
Last column: nearest neighbours and their distance in Å.
Sites, in units of the cell vectors:
Rb: 0.7500 0.3333 0.6667  12 Tl 3.73-4.00
Rb: 0.2500 0.6667 0.3333  12 Tl 3.73-4.00
Tl: 0.2500 0.7230 0.8615  6 Tl 3.22-3.31
Tl: 0.2500 0.1385 0.2770  6 Tl 3.22-3.31
Tl: 0.2500 0.1385 0.8615  6 Tl 3.22-3.31
Tl: 0.7500 0.2770 0.1385  6 Tl 3.22-3.31
Tl: 0.7500 0.8615 0.7230  6 Tl 3.22-3.31
Tl: 0.7500 0.8615 0.1385  6 Tl 3.22-3.31

## Properties
For the energy relative to the elements, the calculation gives -0.05 eV/atom. Its calculated total energy is -2.280 eV/atom.

Record 2
DFT (PBEsol) results for crystalline AlPIr2 at its relaxed geometry.

Unit cell a=2.8707 b=3.7471 c=5.8023 alpha=108.84 beta=104.32 gamma=90.00
Last column: nearest neighbours and their distance in Å.
Sites, in units of the cell vectors:
P: 0.4695 0.4695 0.9390  6 Ir 2.34-2.45
Ir: 0.0309 0.0309 0.0618  4 P 2.45, 2 Al 2.63
Ir: 0.7946 0.2946 0.5891  2 P 2.34, 4 Al 2.54
Al: 0.2051 0.7051 0.4101  6 Ir 2.54-2.63

## Properties
Its energy relative to the lowest polymorph listed for this composition is 0.0257 eV/atom. For the energy relative to the elements, the calculation gives -0.42 eV/atom. Its calculated total energy is -7.805 eV/atom.

Record 3
DFT (PBEsol) results for crystalline KOsIO2 at its relaxed geometry.

Unit cell a=4.0051 b=4.0051 c=5.7400 alpha=90.00 beta=90.00 gamma=90.00
Last column: nearest neighbours and their distance in Å.
Sites, in units of the cell vectors:
I: 0.0000 0.0000 0.5000  4 K 2.83, 2 Os 2.87
K: 0.5000 0.5000 0.5000  4 I 2.83
Os: 0.0000 0.0000 0.0000  4 O 2.00
O: 0.0000 0.5000 0.0000  2 Os 2.00
O: 0.5000 0.0000 0.0000  2 Os 2.00

## Properties
Its calculated total energy is -5.599 eV/atom. The calculation puts the formation energy (no corrections) at -476 meV/atom.